1.
VASP calculation (GGA-PBE) on a geometry-optimized Cd3Hg3Bi structure.

Geometry as extended XYZ:
```
14
Lattice="7.970 0.000 0.000 0.000 7.970 0.000 0.000 0.000 7.970" Properties=species:S:1:pos:R:3 pbc="T T T"
Cd 0.000 1.993 3.985
Cd 0.000 5.978 3.985
Cd 1.993 3.985 0.000
Cd 3.985 0.000 1.993
Cd 3.985 0.000 5.978
Cd 5.978 3.985 0.000
Hg 0.000 3.985 1.993
Hg 0.000 3.985 5.978
Hg 1.993 0.000 3.985
Hg 3.985 1.993 0.000
Hg 3.985 5.978 0.000
Hg 5.978 0.000 3.985
Bi 0.000 0.000 0.000
Bi 3.985 3.985 3.985
```

Properties
uncorrected energy: -0.67 eV/atom
energy of formation from the pure elements: 273.4 kJ/mol of formula units
total magnetic moment: 0.18 μB per atom



2.
VASP calculation (GGA-PBE) on a geometry-optimized Cd12Hg5Bi2 structure.

Geometry as extended XYZ:
```
19
Lattice="8.403 -3.140 0.000 8.403 3.140 0.000 -1.720 0.000 9.597" Properties=species:S:1:pos:R:3 pbc="T T T"
Cd -0.341 0.000 3.283
Cd 3.541 1.535 8.462
Cd 5.205 1.540 3.772
Cd 9.880 1.540 5.825
Cd 5.602 0.000 6.905
Cd 11.545 1.535 1.135
Cd 3.541 -1.535 8.462
Cd 9.484 0.000 2.692
Cd 5.205 -1.540 3.772
Cd 9.880 -1.540 5.825
Cd 11.545 -1.535 1.135
Cd 15.427 0.000 6.314
Hg 0.887 0.000 8.266
Hg 2.629 0.000 3.599
Hg 7.543 0.000 4.798
Hg 12.457 0.000 5.998
Hg 14.199 0.000 1.331
Bi 8.403 1.575 0.000
Bi 8.403 -1.575 0.000
```

Properties
uncorrected energy: -0.99 eV/atom
energy of formation from the pure elements: 144.7 kJ/mol of formula units
total magnetic moment: 0.00 μB per atom



3.
VASP calculation (GGA-PBE) on a geometry-optimized Cd8Hg6Bi structure.

Geometry as extended XYZ:
```
15
Lattice="4.378 2.528 5.782 -4.378 2.528 5.782 0.000 -5.055 5.782" Properties=species:S:1:pos:R:3 pbc="T T T"
Cd 0.000 0.000 1.393
Cd -1.822 0.590 5.842
Cd 0.400 -1.873 5.842
Cd -1.422 -1.283 11.504
Cd 1.422 1.283 5.842
Cd -0.400 1.873 11.504
Cd 1.822 -0.590 11.504
Cd 0.000 0.000 15.953
Hg -3.080 -0.835 8.175
Hg -0.817 -3.085 9.171
Hg -2.263 2.250 9.171
Hg 2.263 -2.250 8.175
Hg 0.817 3.085 8.175
Hg 3.080 0.835 9.171
Bi 0.000 0.000 8.673
```

Properties
uncorrected energy: -0.81 eV/atom
energy of formation from the pure elements: 86.6 kJ/mol of formula units
total magnetic moment: 0.00 μB per atom